# 1
Below is KGa2TcSb after structural relaxation, with properties calculated at the GGA-PBE level.

The structure belongs to space group P4/mmm (No. 123); the cell edges are 4.970, 4.970 and 5.206 Å and the angles 90.00°, 90.00° and 90.00°. The asymmetric unit holds K at (0.000, 0.000, 0.000), Ga at (0.000, 0.500, 0.500), Tc at (0.500, 0.500, 0.500) and Sb at (0.500, 0.500, 0.000).

The value obtained for the volume is 25.7 Å³ per atom. The uncorrected formation energy comes out at -0.110 eV per atom.

=====

# 2
Below is BeAlSe after structural relaxation, with properties calculated at the GGA-PBE level.

The structure belongs to space group P1 (No. 1); the cell edges are 4.033, 5.391 and 5.863 Å and the angles 99.11°, 101.88° and 100.79°. The asymmetric unit holds Be at (0.000, 0.000, 0.000), Be at (0.172, 0.374, 0.204), Al at (0.528, 0.186, 0.948), Al at (0.948, 0.727, 0.644), Se at (0.359, 0.414, 0.604) and Se at (0.889, 0.690, 0.205).

The value obtained for the volume is 20.0 Å³ per atom. The value obtained for the excess energy over the best structure of this formula in the dataset is 41.8 meV per atom. The uncorrected formation energy comes out at -0.155 eV per atom.

=====

# 3
Below is Sm4Dy9Hg11 after structural relaxation, with properties calculated at the GGA-PBE level.

The structure belongs to space group Cmmm (No. 65); the cell edges are 15.919, 22.435 and 3.570 Å and the angles 90.00°, 90.00° and 90.00°. The asymmetric unit holds Sm at (0.163, 0.085, 0.000), Dy at (0.000, 0.000, 0.000), Dy at (0.112, 0.408, 0.000), Dy at (0.116, 0.235, 0.000), Hg at (0.000, 0.131, 0.500), Hg at (0.000, 0.320, 0.500), Hg at (0.000, 0.500, 0.500), Hg at (0.215, 0.500, 0.500) and Hg at (0.231, 0.321, 0.500).

The value obtained for the volume is 26.6 Å³ per atom. The value obtained for the formation energy is -373 meV per atom.

=====

# 4
Below is H2IrOs after structural relaxation, with properties calculated at the GGA-PBE level.

The structure belongs to space group I-42d (No. 122); the cell edges are 4.156, 4.156 and 8.345 Å and the angles 90.00°, 90.00° and 90.00°. The asymmetric unit holds H at (0.247, 0.250, 0.125), Ir at (0.000, 0.000, 0.000) and Os at (0.000, 0.000, 0.500).

The value obtained for the volume is 9.0 Å³ per atom. The value obtained for the excess energy over the best structure of this formula in the dataset is 0.0 meV per atom.

=====

# 5
Below is ScZnSb after structural relaxation, with properties calculated at the GGA-PBE level.

The structure belongs to space group I4mm (No. 107); the cell edges are 3.615, 3.615 and 9.820 Å and the angles 90.00°, 90.00° and 90.00°. The asymmetric unit holds Sc at (0.000, 0.000, 0.000), Zn at (0.000, 0.000, 0.334) and Sb at (0.000, 0.000, 0.682).

The value obtained for the volume is 21.4 Å³ per atom. The uncorrected formation energy comes out at -0.275 eV per atom.

=====

# 6
Below is CuTe2 after structural relaxation, with properties calculated at the GGA-PBE level.

The structure belongs to space group I4_1/amd (No. 141, origin choice 2); the cell edges are 3.527, 3.527 and 24.159 Å and the angles 90.00°, 90.00° and 90.00°. The asymmetric unit holds Cu at (0.000, 0.250, 0.375) and Te at (0.000, 0.250, 0.812).

The value obtained for the volume is 25.0 Å³ per atom. The uncorrected formation energy comes out at 0.265 eV per atom.

=====

# 7
Below is Pm8DyTm3 after structural relaxation, with properties calculated at the GGA-PBE level.

The structure belongs to space group C2 (No. 5); the cell edges are 11.554, 6.916 and 10.183 Å and the angles 90.00°, 90.11° and 90.00°. The asymmetric unit holds Pm at (0.000, 0.000, 0.188), Pm at (0.000, 0.500, 0.188), Pm at (0.249, 0.250, 0.311), Pm at (0.250, 0.250, 0.689), Dy at (0.000, 0.749, 0.500), Tm at (0.000, 0.249, 0.500) and Tm at (0.250, 0.001, 0.000).

The value obtained for the volume is 33.9 Å³ per atom. The value obtained for the formation energy is 186 meV per atom.

=====

# 8
Below is LiCdCl4 after structural relaxation, with properties calculated at the GGA-PBE level.

The structure belongs to space group P2_1/c (No. 14); the cell edges are 6.393, 6.471 and 7.542 Å and the angles 90.00°, 113.26° and 90.00°. The asymmetric unit holds Li at (0.000, 0.000, 0.000), Cd at (0.500, 0.000, 0.500), Cl at (0.156, 0.231, 0.320) and Cl at (0.323, 0.739, 0.675).

The value obtained for the volume is 23.9 Å³ per atom. The value obtained for the excess energy over the best structure of this formula in the dataset is 0.0 meV per atom. The uncorrected formation energy comes out at -0.970 eV per atom.